# 1
# Cr2FeAu | Alexandria | PBE | relaxed
# E above lowest polymorph in eV per atom: 0.012
data_Cr2FeAu
_chemical_formula_sum 'Cr2 Fe1 Au1'
_space_group_name_H-M_alt 'P m m m'
_space_group_IT_number 47
_cell_length_a 2.6895
_cell_length_b 3.5793
_cell_length_c 5.4056
_cell_angle_alpha 90.00
_cell_angle_beta 90.00
_cell_angle_gamma 90.00
loop_
_space_group_symop_operation_xyz
'x,y,z'
'-x,-y,-z'
'-x,-y,z'
'x,y,-z'
'x,-y,-z'
'-x,y,z'
'-x,y,-z'
'x,-y,z'
loop_
_atom_site_label
_atom_site_type_symbol
_atom_site_fract_x
_atom_site_fract_y
_atom_site_fract_z
Cr1 Cr 0.0000 0.0000 0.1965
Fe1 Fe 0.5000 0.5000 0.0000
Au1 Au 0.5000 0.5000 0.5000

# 2
# CrFeAu | Alexandria | PBE | relaxed
# E above lowest polymorph in eV per atom: 0.031
data_CrFeAu
_chemical_formula_sum 'Cr2 Fe2 Au2'
_space_group_name_H-M_alt 'P 4 m m'
_space_group_IT_number 99
_cell_length_a 2.9533
_cell_length_b 2.9533
_cell_length_c 9.6201
_cell_angle_alpha 90.00
_cell_angle_beta 90.00
_cell_angle_gamma 90.00
loop_
_space_group_symop_operation_xyz
'x,y,z'
'-y,x,z'
'-x,-y,z'
'y,-x,z'
'-x,y,z'
'y,x,z'
'x,-y,z'
'-y,-x,z'
loop_
_atom_site_label
_atom_site_type_symbol
_atom_site_fract_x
_atom_site_fract_y
_atom_site_fract_z
Cr1 Cr 0.0000 0.0000 0.0000
Cr2 Cr 0.0000 0.0000 0.2806
Fe1 Fe 0.5000 0.5000 0.1516
Fe2 Fe 0.5000 0.5000 0.8710
Au1 Au 0.0000 0.0000 0.6893
Au2 Au 0.5000 0.5000 0.4712

# 3
# CrFeAu | Alexandria | PBE | relaxed
# E above lowest polymorph in eV per atom: 0.015
data_CrFeAu
_chemical_formula_sum 'Cr4 Fe4 Au4'
_space_group_name_H-M_alt 'C 1 m 1'
_space_group_IT_number 8
_cell_length_a 9.3768
_cell_length_b 2.9421
_cell_length_c 6.6527
_cell_angle_alpha 90.00
_cell_angle_beta 111.96
_cell_angle_gamma 90.00
loop_
_space_group_symop_operation_xyz
'x,y,z'
'x,-y,z'
'x+1/2,y+1/2,z'
'x+1/2,-y+1/2,z'
loop_
_atom_site_label
_atom_site_type_symbol
_atom_site_fract_x
_atom_site_fract_y
_atom_site_fract_z
Cr1 Cr 0.0000 0.0000 0.0000
Cr2 Cr 0.1560 0.5000 0.2453
Fe1 Fe 0.0248 0.0000 0.4467
Fe2 Fe 0.3521 0.0000 0.1829
Au1 Au 0.1769 0.5000 0.8261
Au2 Au 0.3450 0.0000 0.6072

# 4
# Cr2FeAu | Alexandria | PBE | relaxed
# E above lowest polymorph in eV per atom: 0.174
data_Cr2FeAu
_chemical_formula_sum 'Cr4 Fe2 Au2'
_space_group_name_H-M_alt 'C m m m'
_space_group_IT_number 65
_space_group_name_Hall '-C 2 2'
_cell_length_a 5.2141
_cell_length_b 7.6590
_cell_length_c 2.6532
_cell_angle_alpha 90.00
_cell_angle_beta 90.00
_cell_angle_gamma 90.00
loop_
_atom_site_label
_atom_site_type_symbol
_atom_site_fract_x
_atom_site_fract_y
_atom_site_fract_z
Cr1 Cr 0.2500 0.2500 0.0000
Fe1 Fe 0.0000 0.0000 0.5000
Au1 Au 0.0000 0.5000 0.5000

# 5
# CrFeAu | Alexandria | PBE | relaxed
# E above lowest polymorph in eV per atom: 0.105
data_CrFeAu
_chemical_formula_sum 'Cr1 Fe1 Au1'
_space_group_name_H-M_alt 'P 3 m 1'
_space_group_IT_number 156
_cell_length_a 4.2369
_cell_length_b 4.2369
_cell_length_c 2.8186
_cell_angle_alpha 90.00
_cell_angle_beta 90.00
_cell_angle_gamma 120.00
loop_
_space_group_symop_operation_xyz
'x,y,z'
'-y,x-y,z'
'-x+y,-x,z'
'-y,-x,z'
'-x+y,y,z'
'x,x-y,z'
loop_
_atom_site_label
_atom_site_type_symbol
_atom_site_fract_x
_atom_site_fract_y
_atom_site_fract_z
Cr1 Cr 0.0000 0.0000 0.0000
Fe1 Fe 0.6667 0.3333 0.0474
Au1 Au 0.3333 0.6667 0.5218

# 6
# Cr2FeAu | Alexandria | PBE | relaxed
# E above lowest polymorph in eV per atom: 0.000
data_Cr2FeAu
_chemical_formula_sum 'Cr2 Fe1 Au1'
_space_group_name_H-M_alt 'P 4 m m'
_space_group_IT_number 99
_cell_length_a 2.9170
_cell_length_b 2.9170
_cell_length_c 6.4594
_cell_angle_alpha 90.00
_cell_angle_beta 90.00
_cell_angle_gamma 90.00
loop_
_space_group_symop_operation_xyz
'x,y,z'
'-y,x,z'
'-x,-y,z'
'y,-x,z'
'-x,y,z'
'y,x,z'
'x,-y,z'
'-y,-x,z'
loop_
_atom_site_label
_atom_site_type_symbol
_atom_site_fract_x
_atom_site_fract_y
_atom_site_fract_z
Cr1 Cr 0.0000 0.0000 0.0000
Cr2 Cr 0.5000 0.5000 0.2089
Fe1 Fe 0.0000 0.0000 0.4232
Au1 Au 0.5000 0.5000 0.7045

# 7
# Cr2FeAu | Alexandria | PBE | relaxed
# E above lowest polymorph in eV per atom: 0.020
data_Cr2FeAu
_chemical_formula_sum 'Cr4 Fe2 Au2'
_space_group_name_H-M_alt 'I -4 m 2'
_space_group_IT_number 119
_space_group_name_Hall 'I -4 -2'
_cell_length_a 3.8620
_cell_length_b 3.8620
_cell_length_c 7.4817
_cell_angle_alpha 90.00
_cell_angle_beta 90.00
_cell_angle_gamma 90.00
loop_
_atom_site_label
_atom_site_type_symbol
_atom_site_fract_x
_atom_site_fract_y
_atom_site_fract_z
Cr1 Cr 0.0000 0.0000 0.0000
Cr2 Cr 0.0000 0.5000 0.2500
Fe1 Fe 0.0000 0.5000 0.7500
Au1 Au 0.0000 0.0000 0.5000

# 8
# Cr3FeAu | Alexandria | PBE | relaxed
# E above lowest polymorph in eV per atom: 0.000
data_Cr3FeAu
_chemical_formula_sum 'Cr3 Fe1 Au1'
_space_group_name_H-M_alt 'P m -3 m'
_space_group_IT_number 221
_space_group_name_Hall '-P 4 2 3'
_cell_length_a 4.1964
_cell_length_b 4.1964
_cell_length_c 4.1964
_cell_angle_alpha 90.00
_cell_angle_beta 90.00
_cell_angle_gamma 90.00
loop_
_atom_site_label
_atom_site_type_symbol
_atom_site_fract_x
_atom_site_fract_y
_atom_site_fract_z
Cr1 Cr 0.0000 0.0000 0.5000
Fe1 Fe 0.0000 0.0000 0.0000
Au1 Au 0.5000 0.5000 0.5000

# 9
# CrFeAu | Alexandria | PBE | relaxed
# E above lowest polymorph in eV per atom: 0.057
data_CrFeAu
_chemical_formula_sum 'Cr4 Fe4 Au4'
_space_group_name_H-M_alt 'C 1 2/m 1'
_space_group_IT_number 12
_cell_length_a 9.2835
_cell_length_b 2.8797
_cell_length_c 6.6115
_cell_angle_alpha 90.00
_cell_angle_beta 109.55
_cell_angle_gamma 90.00
loop_
_space_group_symop_operation_xyz
'x,y,z'
'-x,-y,-z'
'-x,y,-z'
'x,-y,z'
'x+1/2,y+1/2,z'
'-x+1/2,-y+1/2,-z'
'-x+1/2,y+1/2,-z'
'x+1/2,-y+1/2,z'
loop_
_atom_site_label
_atom_site_type_symbol
_atom_site_fract_x
_atom_site_fract_y
_atom_site_fract_z
Cr1 Cr 0.1552 0.0000 0.0282
Fe1 Fe 0.0247 0.5000 0.2263
Au1 Au 0.1633 0.0000 0.6113

# 10
# CrFeAu | Alexandria | PBE | relaxed
# E above lowest polymorph in eV per atom: 0.063
data_CrFeAu
_chemical_formula_sum 'Cr4 Fe4 Au4'
_space_group_name_H-M_alt 'C 1 2/m 1'
_space_group_IT_number 12
_cell_length_a 8.8643
_cell_length_b 3.7071
_cell_length_c 5.5851
_cell_angle_alpha 90.00
_cell_angle_beta 108.50
_cell_angle_gamma 90.00
loop_
_space_group_symop_operation_xyz
'x,y,z'
'-x,-y,-z'
'-x,y,-z'
'x,-y,z'
'x+1/2,y+1/2,z'
'-x+1/2,-y+1/2,-z'
'-x+1/2,y+1/2,-z'
'x+1/2,-y+1/2,z'
loop_
_atom_site_label
_atom_site_type_symbol
_atom_site_fract_x
_atom_site_fract_y
_atom_site_fract_z
Cr1 Cr 0.1583 0.0000 0.0855
Fe1 Fe 0.0057 0.5000 0.7897
Au1 Au 0.1643 0.0000 0.5974

# 11
Material: CrFeAu4
Method: DFT, PBE
State: relaxed

Geometry as CIF:
```
data_CrFeAu4
_chemical_formula_sum 'Cr4 Fe4 Au16'
_space_group_name_H-M_alt 'F -4 3 m'
_space_group_IT_number 216
_space_group_name_Hall 'F -4 2 3'
_cell_length_a 7.6934
_cell_length_b 7.6934
_cell_length_c 7.6934
_cell_angle_alpha 90.00
_cell_angle_beta 90.00
_cell_angle_gamma 90.00
loop_
_atom_site_label
_atom_site_type_symbol
_atom_site_fract_x
_atom_site_fract_y
_atom_site_fract_z
Cr1 Cr 0.0000 0.0000 0.0000
Fe1 Fe 0.2500 0.2500 0.7500
Au1 Au 0.1250 0.1250 0.3750
```

# 12
# Cr2FeAu | Alexandria | PBE | relaxed
# E above lowest polymorph in eV per atom: 0.210
data_Cr2FeAu
_chemical_formula_sum 'Cr6 Fe3 Au3'
_space_group_name_H-M_alt 'R -3 m'
_space_group_IT_number 166
_space_group_name_Hall '-R 3 2"'
_cell_length_a 2.6551
_cell_length_b 2.6551
_cell_length_c 26.0012
_cell_angle_alpha 90.00
_cell_angle_beta 90.00
_cell_angle_gamma 120.00
loop_
_atom_site_label
_atom_site_type_symbol
_atom_site_fract_x
_atom_site_fract_y
_atom_site_fract_z
Cr1 Cr 0.0000 0.0000 0.2415
Fe1 Fe 0.0000 0.0000 0.5000
Au1 Au 0.0000 0.0000 0.0000

Going through the records in order, we get volume values of 13.0, 14.0, 14.2, 13.2, 14.6, 13.7, 13.9, 14.8, 13.9, 14.5, 19.0, 13.2 Å³ per atom.
Going through the records in order, we get ΔH_f (0 K) values of 237, 207, 190, 399, 280, 225, 245, 1049, 233, 238, 468, 435 meV per atom.